Material: SrYTi2Se
Method: DFT, GGA-PBE
State: optimized geometry

Geometry as POSCAR:
```
SrYTi2Se
1.0
4.8960 0.0000 0.0000
0.0000 4.8960 0.0000
0.0000 0.0000 5.6013
Y Sr Ti Se
1 1 2 1
direct
0.5000 0.5000 0.5000
0.0000 0.0000 0.0000
0.0000 0.5000 0.0000
0.5000 0.0000 0.0000
0.0000 0.0000 0.5000
```

## Properties
The raw formation energy is 1080 meV/atom. The density is 4.34 Mg/m³.